TbSm2V: relaxed, PBE.

Cell and atoms, written as CIF:
```
data_TbSm2V
_cell_length_a 3.4156
_cell_length_b 3.4156
_cell_length_c 34.7416
_cell_angle_alpha 90.00
_cell_angle_beta 90.00
_cell_angle_gamma 120.00
_symmetry_space_group_name_H-M 'R -3 m'
_symmetry_Int_Tables_number 166
_symmetry_space_group_name_Hall '-R 3 2"'
loop_
_atom_site_label
_atom_site_fract_x
_atom_site_fract_y
_atom_site_fract_z
_atom_site_occupancy
Tb1 0.0000 0.0000 0.0000 1
Sm1 0.0000 0.0000 0.4185 1
V1 0.0000 0.0000 0.5000 1
```

Summary:
Calculated formation energy: 0.621 eV per atom